Crystalline CaMn2PdBr at its relaxed geometry. Source: Alexandria, functional PBE.

Computed properties:
E_form (uncorrected): 0.55 eV/atom
Electronic total energy: -4.89 eV per atom

a = 4.603 Å, b = 4.603 Å, c = 5.331 Å
α = 90.00°, β = 90.00°, γ = 90.00°
Space group P4/mmm (No. 123)
Symmetry-distinct sites (fractional):
Ca: 0.000 0.000 0.000
Mn: 0.000 0.500 0.500
Pd: 0.500 0.500 0.000
Br: 0.000 0.000 0.500

***

Crystalline LiPbS3 at its relaxed geometry. Source: Alexandria, functional PBE.

Computed properties:
Distance to the lowest polymorph of the same formula: 0.000 eV/atom
E_form (uncorrected): 0.09 eV/atom
Electronic total energy: -3.52 eV per atom

a = 4.635 Å, b = 4.635 Å, c = 4.635 Å
α = 90.00°, β = 90.00°, γ = 90.00°
Space group Pm-3m (No. 221)
Symmetry-distinct sites (fractional):
Li: 0.000 0.000 0.000
Pb: 0.500 0.500 0.500
S: 0.000 0.000 0.500